Entry 1:
DFT (GGA-PBE) results for a relaxed NaY2PPb crystal.

Results
- Density of states at the Fermi level: 0.25 states/eV per atom
- SG: P4/mmm, No. 123
- Theoretical density: 5.1 g/cm³
- Final energy: -5.283 eV per atom

a b c (Å): 5.3368 5.3368 5.0485
angles (deg): 90.00 90.00 90.00
Last column: nearest neighbours and their distance in Å.
Positions (direct):
Na1 0.0000 0.0000 0.0000  2 P 2.52
Y1 0.0000 0.5000 0.5000  2 P 2.67
Y2 0.5000 0.0000 0.5000  2 P 2.67
P1 0.0000 0.0000 0.5000  2 Na 2.52, 4 Y 2.67
Pb1 0.5000 0.5000 0.0000  8 Y 3.67, 4 Na 3.77

***

Entry 2:
DFT (GGA-PBE) results for a relaxed KTb2Er3Te6 crystal.

Results
- E_form (uncorrected): -123 kJ/mol of atoms
- Density of states at the Fermi level: 0.36 states/eV per atom
- SG: C2/m, No. 12
- Theoretical density: 7.4 g/cm³

a b c (Å): 9.9019 9.9019 8.9811
angles (deg): 103.91 103.91 25.38
Last column: nearest neighbours and their distance in Å.
Positions (direct):
K1 0.0000 0.0000 0.0000  6 Te 3.23-3.28
Tb1 0.3283 0.3283 0.6518  6 Te 3.09-3.23
Tb2 0.6717 0.6717 0.3482  6 Te 3.09-3.23
Er1 0.0000 0.0000 0.5000  6 Te 3.02-3.07
Er2 0.3382 0.3382 0.1779  6 Te 3.04-3.17
Er3 0.6619 0.6619 0.8221  6 Te 3.04-3.17
Te1 0.1637 0.1637 0.5873  3 Er 3.04-3.07, 3 Tb 3.09
Te2 0.1749 0.1749 0.0846  3 Er 3.06-3.17, 2 Tb 3.23, 1 K 3.28
Te3 0.4972 0.4972 0.7322  3 Er 3.02-3.08, 1 Tb 3.16, 2 K 3.23
Te4 0.5028 0.5028 0.2678  3 Er 3.02-3.08, 1 Tb 3.16, 2 K 3.23
Te5 0.8251 0.8251 0.9154  3 Er 3.06-3.17, 2 Tb 3.23, 1 K 3.28
Te6 0.8363 0.8363 0.4128  3 Er 3.04-3.07, 3 Tb 3.09

***

Entry 3:
DFT (GGA-PBE) results for a relaxed BaNiAg2 crystal.

Results
- Energy above the most stable polymorph in this dataset: 193 meV per atom
- Density of states at the Fermi level: 0.76 states/eV per atom
- SG: P4mm, No. 99
- Theoretical density: 7.5 g/cm³

a b c (Å): 3.5377 3.5377 7.2718
angles (deg): 90.00 90.00 90.00
Last column: nearest neighbours and their distance in Å.
Positions (direct):
Ba1 0.0000 0.0000 0.0000  4 Ni 3.30, 5 Ag 3.30-3.52, 4 Ba 3.54
Ni1 0.5000 0.5000 0.2950  5 Ag 2.66-2.76
Ag1 0.0000 0.0000 0.4544  4 Ni 2.76, 4 Ag 2.92
Ag2 0.5000 0.5000 0.6603  1 Ni 2.66, 4 Ag 2.92

***

Entry 4:
DFT (GGA-PBE) results for a relaxed HfNb2Si2 crystal.

Results
- Energy above the most stable polymorph in this dataset: 0 meV per atom
- E_form (uncorrected): -73 kJ/mol of atoms
- Density of states at the Fermi level: 0.16 states/eV per atom
- SG: P4/mbm, No. 127
- Theoretical density: 8.4 g/cm³

a b c (Å): 6.8818 6.8818 3.5037
angles (deg): 90.00 90.00 90.00
Last column: nearest neighbours and their distance in Å.
Positions (direct):
Hf1 0.0000 0.0000 0.0000  4 Si 2.72
Hf2 0.5000 0.5000 0.0000  4 Si 2.72
Nb1 0.1712 0.3288 0.5000  6 Si 2.65-2.71
Nb2 0.3288 0.8288 0.5000  6 Si 2.65-2.71
Nb3 0.6712 0.1712 0.5000  6 Si 2.65-2.71
Nb4 0.8288 0.6712 0.5000  6 Si 2.65-2.71
Si1 0.1252 0.6252 0.0000  1 Si 2.44, 6 Nb 2.65-2.71, 2 Hf 2.72
Si2 0.3748 0.1252 0.0000  1 Si 2.44, 6 Nb 2.65-2.71, 2 Hf 2.72
Si3 0.6252 0.8748 0.0000  1 Si 2.44, 6 Nb 2.65-2.71, 2 Hf 2.72
Si4 0.8748 0.3748 0.0000  1 Si 2.44, 6 Nb 2.65-2.71, 2 Hf 2.72

***

Entry 5:
DFT (GGA-PBE) results for a relaxed K2PuGeSe4 crystal.

Results
- E_form (uncorrected): -98 kJ/mol of atoms
- Density of states at the Fermi level: 1.28 states/eV per atom
- SG: Imma, No. 74
- Theoretical density: 5.1 g/cm³

a b c (Å): 8.6776 8.6776 8.6776
angles (deg): 119.95 119.58 90.40
Last column: nearest neighbours and their distance in Å.
Positions (direct):
K1 0.0000 0.0000 0.0000  6 Se 3.26-3.28
K2 0.5000 0.0000 0.0000  6 Se 3.30-3.32
K3 0.5000 0.0000 0.5000  6 Se 3.26-3.28
K4 0.5000 0.5000 0.5000  6 Se 3.30-3.32
Pu1 0.0000 0.0000 0.5000  6 Se 2.82-2.88
Pu2 0.0000 0.5000 0.0000  6 Se 2.82-2.88
Ge1 0.0000 0.5000 0.5000  6 Se 2.88-2.91
Ge2 0.5000 0.5000 0.0000  6 Se 2.88-2.91
Se1 0.2005 0.7343 0.4662  1 Ge 2.88, 2 Pu 2.88
Se2 0.2294 0.2602 0.5308  1 Pu 2.82, 2 Ge 2.91
Se3 0.2294 0.6987 0.9692  1 Pu 2.82, 2 Ge 2.91
Se4 0.2318 0.2656 0.9662  1 Ge 2.88, 2 Pu 2.88
Se5 0.7682 0.7343 0.0338  1 Ge 2.88, 2 Pu 2.88
Se6 0.7706 0.3013 0.0308  1 Pu 2.82, 2 Ge 2.91
Se7 0.7706 0.7398 0.4692  1 Pu 2.82, 2 Ge 2.91
Se8 0.7995 0.2656 0.5338  1 Ge 2.88, 2 Pu 2.88

***

Entry 6:
DFT (GGA-PBE) results for a relaxed Sr3PrHg12 crystal.

Results
- Density of states at the Fermi level: 0.66 states/eV per atom
- SG: P4/mmm, No. 123
- Theoretical density: 10.4 g/cm³
- Final energy: -1.218 eV per atom

a b c (Å): 4.8268 4.8268 19.3011
angles (deg): 90.00 90.00 90.00
Last column: nearest neighbours and their distance in Å.
Positions (direct):
Sr1 0.0000 0.0000 0.0000  12 Hg 3.41-3.43
Sr2 0.0000 0.0000 0.2523  12 Hg 3.41-3.47
Sr3 0.0000 0.0000 0.7477  12 Hg 3.41-3.47
Pr1 0.0000 0.0000 0.5000  12 Hg 3.33-3.41
Hg1 0.0000 0.5000 0.1263  8 Hg 3.41-3.46, 4 Sr 3.43
Hg2 0.0000 0.5000 0.3812  8 Hg 3.33-3.43, 2 Pr 3.33, 2 Sr 3.47
Hg3 0.0000 0.5000 0.6188  8 Hg 3.33-3.43, 2 Pr 3.33, 2 Sr 3.47
Hg4 0.0000 0.5000 0.8737  8 Hg 3.41-3.46, 4 Sr 3.43
Hg5 0.5000 0.0000 0.1263  8 Hg 3.41-3.46, 4 Sr 3.43
Hg6 0.5000 0.0000 0.3812  8 Hg 3.33-3.43, 2 Pr 3.33, 2 Sr 3.47
Hg7 0.5000 0.0000 0.6188  8 Hg 3.33-3.43, 2 Pr 3.33, 2 Sr 3.47
Hg8 0.5000 0.0000 0.8737  8 Hg 3.41-3.46, 4 Sr 3.43
Hg9 0.5000 0.5000 0.0000  4 Sr 3.41, 8 Hg 3.43
Hg10 0.5000 0.5000 0.2549  4 Sr 3.41, 8 Hg 3.43-3.46
Hg11 0.5000 0.5000 0.5000  8 Hg 3.33, 4 Pr 3.41
Hg12 0.5000 0.5000 0.7451  4 Sr 3.41, 8 Hg 3.43-3.46